# 1
Entry from the Alexandria database: a relaxed BaLiCdCu2 crystal (PBE).

Values from the calculation:
Total DFT energy (no corrections): -2.05 eV per atom
E_form: 538 meV/atom
SG: P4/mmm (123)
Total magnetic moment: 0.00 μB/cell

Cell: 5.095 6.139 5.095 Å, 90.00 90.00 90.00°
Fractional positions:
Cu 0.500 0.000 0.000
Cu 0.000 0.000 0.500
Ba 0.000 0.500 0.000
Li 0.500 0.500 0.500
Cd 0.000 0.000 0.000

---

# 2
Entry from the Alexandria database: a relaxed Ba2MgCd6Cu crystal (PBE).

Values from the calculation:
Total DFT energy (no corrections): -1.68 eV per atom
E_form: -175 meV/atom
SG: P-1 (2)
Total magnetic moment: 0.00 μB/cell

Cell: 7.693 7.246 7.686 Å, 61.95 56.12 90.04°
Fractional positions:
Cu 0.500 0.500 0.000
Ba 0.708 0.293 0.414
Ba 0.292 0.707 0.586
Cd 0.833 0.741 0.515
Cd 0.260 0.745 0.086
Cd 0.740 0.255 0.914
Cd 0.257 0.169 0.089
Cd 0.743 0.831 0.911
Cd 0.167 0.259 0.485
Mg 0.000 0.000 0.000

---

# 3
Entry from the Alexandria database: a relaxed BaMg2CdCu crystal (PBE).

Values from the calculation:
Total DFT energy (no corrections): -2.09 eV per atom
E_form: -70 meV/atom
SG: P4/mmm (123)
Total magnetic moment: 0.00 μB/cell

Cell: 5.124 5.124 5.195 Å, 90.00 90.00 90.00°
Fractional positions:
Ba 0.500 0.500 0.500
Mg 0.000 0.500 0.000
Mg 0.500 0.000 0.000
Cd 0.000 0.000 0.500
Cu 0.000 0.000 0.000

---

> Among the records above, which one has the highest total DFT energy (no corrections)?

Ba2MgCd6Cu

---

> Which of these has the highest E_form?

BaLiCdCu2

---

> The lowest total DFT energy (no corrections) belongs to which entry?

BaMg2CdCu